[1]
KCrBr4: optimized geometry, PBE-GGA. Values from VASP.

Values from the calculation:
Energy relative to the elements, uncorrected, eV/atom: 0.14
Volume, Å³ per atom: 33.0
Calculated total energy, eV per atom: -2.76
Relative energy among the computed polymorphs, kJ per mole of atoms: 110.97
DOS at the Fermi energy, states/eV/cell: 10.29

Quantum ESPRESSO input file:
```
&SYSTEM
  ibrav = 0, nat = 6, ntyp = 3
/
ATOMIC_SPECIES
K 39.10 K.upf
Br 79.90 Br.upf
Cr 52.00 Cr.upf
CELL_PARAMETERS angstrom
3.442 -5.385 1.396
-2.766 -4.862 3.391
-1.428 -5.654 -2.963
ATOMIC_POSITIONS crystal
K 0.000 0.000 0.000
Br 0.875 0.375 0.375
Cr 0.750 0.750 0.750
Br 0.375 0.375 0.875
Br 0.375 0.375 0.375
Br 0.375 0.875 0.375
```

---

[2]
K2CrBr: optimized geometry, PBE-GGA. Values from VASP.

Values from the calculation:
Energy relative to the elements, uncorrected, eV/atom: -0.13
Volume, Å³ per atom: 40.9
Calculated total energy, eV per atom: -3.50
Relative energy among the computed polymorphs, kJ per mole of atoms: 5.01
DOS at the Fermi energy, states/eV/cell: 0.99

Quantum ESPRESSO input file:
```
&SYSTEM
  ibrav = 0, nat = 4, ntyp = 3
/
ATOMIC_SPECIES
Br 79.90 Br.upf
K 39.10 K.upf
Cr 52.00 Cr.upf
CELL_PARAMETERS angstrom
9.699 0.084 -0.019
7.817 5.741 0.019
-8.692 -3.111 2.974
ATOMIC_POSITIONS crystal
Br 0.545 0.545 0.000
K 0.966 0.966 0.000
Cr 0.304 0.804 0.500
K 0.686 0.186 0.500
```

---

[3]
K3Cr2Br7: optimized geometry, PBE-GGA. Values from VASP.

Values from the calculation:
Energy relative to the elements, uncorrected, eV/atom: -1.18
Volume, Å³ per atom: 31.4
Calculated total energy, eV per atom: -4.04
DOS at the Fermi energy, states/eV/cell: 2.01

Quantum ESPRESSO input file:
```
&SYSTEM
  ibrav = 0, nat = 12, ntyp = 3
/
ATOMIC_SPECIES
K 39.10 K.upf
Br 79.90 Br.upf
Cr 52.00 Cr.upf
CELL_PARAMETERS angstrom
-1.965 4.822 0.998
-2.369 -1.868 4.360
13.071 1.478 4.512
ATOMIC_POSITIONS crystal
K 0.680 0.680 0.360
Br 0.096 0.596 0.192
Br 0.196 0.196 0.392
K 0.320 0.320 0.640
Cr 0.901 0.901 0.802
Br 0.404 0.904 0.808
Br 0.596 0.096 0.192
K 0.500 0.500 0.000
Br 0.000 0.000 0.000
Br 0.804 0.804 0.608
Br 0.904 0.404 0.808
Cr 0.099 0.099 0.198
```

---

[4]
K2CrBr2: optimized geometry, PBE-GGA. Values from VASP.

Values from the calculation:
Energy relative to the elements, uncorrected, eV/atom: -0.57
Volume, Å³ per atom: 34.6
Calculated total energy, eV per atom: -3.60
Relative energy among the computed polymorphs, kJ per mole of atoms: 0.00
DOS at the Fermi energy, states/eV/cell: 1.73

Quantum ESPRESSO input file:
```
&SYSTEM
  ibrav = 0, nat = 10, ntyp = 3
/
ATOMIC_SPECIES
Br 79.90 Br.upf
Cr 52.00 Cr.upf
K 39.10 K.upf
CELL_PARAMETERS angstrom
9.320 0.000 0.000
0.000 9.320 0.000
0.000 0.000 3.981
ATOMIC_POSITIONS crystal
Br 0.656 0.844 0.500
Cr 0.000 0.000 0.000
Br 0.156 0.656 0.500
Cr 0.500 0.500 0.000
Br 0.344 0.156 0.500
K 0.643 0.143 0.000
Br 0.844 0.344 0.500
K 0.857 0.643 0.000
K 0.357 0.857 0.000
K 0.143 0.357 0.000
```

---

[5]
KCrBr2: optimized geometry, PBE-GGA. Values from VASP.

Values from the calculation:
Energy relative to the elements, uncorrected, eV/atom: -0.56
Volume, Å³ per atom: 27.1
Calculated total energy, eV per atom: -4.07
Relative energy among the computed polymorphs, kJ per mole of atoms: 20.79
DOS at the Fermi energy, states/eV/cell: 3.85

Quantum ESPRESSO input file:
```
&SYSTEM
  ibrav = 0, nat = 4, ntyp = 3
/
ATOMIC_SPECIES
Br 79.90 Br.upf
K 39.10 K.upf
Cr 52.00 Cr.upf
CELL_PARAMETERS angstrom
-2.972 -3.943 2.065
-2.968 0.890 4.363
-5.334 0.187 -0.385
ATOMIC_POSITIONS crystal
Br 0.250 0.250 0.250
K 0.000 0.000 0.000
Cr 0.500 0.500 0.500
Br 0.750 0.750 0.750
```

---

[6]
KCrBr6: optimized geometry, PBE-GGA. Values from VASP.

Values from the calculation:
Energy relative to the elements, uncorrected, eV/atom: -0.70
Volume, Å³ per atom: 30.8
Calculated total energy, eV per atom: -3.29
DOS at the Fermi energy, states/eV/cell: 7.44

Quantum ESPRESSO input file:
```
&SYSTEM
  ibrav = 0, nat = 8, ntyp = 3
/
ATOMIC_SPECIES
Br 79.90 Br.upf
Cr 52.00 Cr.upf
K 39.10 K.upf
CELL_PARAMETERS angstrom
-1.409 -0.777 6.125
1.726 -5.963 -1.256
5.796 2.442 0.746
ATOMIC_POSITIONS crystal
Br 0.586 0.224 0.224
Br 0.224 0.586 0.224
Cr 0.500 0.500 0.500
Br 0.414 0.776 0.776
Br 0.776 0.414 0.776
K 0.000 0.000 0.000
Br 0.224 0.224 0.586
Br 0.776 0.776 0.414
```

---

[7]
KCr2Br: optimized geometry, PBE-GGA. Values from VASP.

Values from the calculation:
Energy relative to the elements, uncorrected, eV/atom: 0.16
Volume, Å³ per atom: 24.2
Calculated total energy, eV per atom: -5.34
Relative energy among the computed polymorphs, kJ per mole of atoms: 0.00
DOS at the Fermi energy, states/eV/cell: 1.26

Quantum ESPRESSO input file:
```
&SYSTEM
  ibrav = 0, nat = 4, ntyp = 3
/
ATOMIC_SPECIES
K 39.10 K.upf
Cr 52.00 Cr.upf
Br 79.90 Br.upf
CELL_PARAMETERS angstrom
3.505 0.000 0.000
0.000 3.500 0.152
0.000 1.423 7.944
ATOMIC_POSITIONS crystal
K 0.000 0.556 0.514
Cr 0.500 0.231 0.163
Cr 0.000 0.787 0.050
Br 0.500 0.926 0.773
```

---

[8]
KCrBr4: optimized geometry, PBE-GGA. Values from VASP.

Values from the calculation:
Energy relative to the elements, uncorrected, eV/atom: -1.01
Volume, Å³ per atom: 29.5
Calculated total energy, eV per atom: -3.91
Relative energy among the computed polymorphs, kJ per mole of atoms: 0.00
DOS at the Fermi energy, states/eV/cell: 0.04

Quantum ESPRESSO input file:
```
&SYSTEM
  ibrav = 0, nat = 12, ntyp = 3
/
ATOMIC_SPECIES
Br 79.90 Br.upf
Cr 52.00 Cr.upf
K 39.10 K.upf
CELL_PARAMETERS angstrom
-2.761 2.457 5.228
3.295 -4.896 4.041
6.465 4.918 -2.825
ATOMIC_POSITIONS crystal
Br 0.277 0.560 0.800
Cr 0.000 0.500 0.500
Br 0.737 0.332 0.604
K 0.827 0.750 0.000
Br 0.867 0.832 0.604
Cr 0.500 0.000 0.500
Br 0.524 0.060 0.800
Br 0.133 0.168 0.396
Br 0.723 0.440 0.200
Br 0.476 0.940 0.200
Br 0.263 0.668 0.396
K 0.173 0.250 0.000
```

---

[9]
K2CrBr: optimized geometry, PBE-GGA. Values from VASP.

Values from the calculation:
Energy relative to the elements, uncorrected, eV/atom: -0.15
Volume, Å³ per atom: 41.6
Calculated total energy, eV per atom: -3.52
Relative energy among the computed polymorphs, kJ per mole of atoms: 3.20
DOS at the Fermi energy, states/eV/cell: 0.94

Quantum ESPRESSO input file:
```
&SYSTEM
  ibrav = 0, nat = 4, ntyp = 3
/
ATOMIC_SPECIES
Br 79.90 Br.upf
K 39.10 K.upf
Cr 52.00 Cr.upf
CELL_PARAMETERS angstrom
-0.847 0.359 -8.820
-1.598 -3.933 -7.786
-4.065 1.080 1.530
ATOMIC_POSITIONS crystal
Br 0.508 0.508 0.503
K 0.956 0.956 0.953
Cr 0.330 0.330 0.331
K 0.706 0.706 0.712
```

---

[10]
KCrBr2: optimized geometry, PBE-GGA. Values from VASP.

Values from the calculation:
Energy relative to the elements, uncorrected, eV/atom: -0.77
Volume, Å³ per atom: 31.6
Calculated total energy, eV per atom: -4.29
Relative energy among the computed polymorphs, kJ per mole of atoms: 0.00
DOS at the Fermi energy, states/eV/cell: 0.97

Quantum ESPRESSO input file:
```
&SYSTEM
  ibrav = 0, nat = 4, ntyp = 3
/
ATOMIC_SPECIES
Br 79.90 Br.upf
K 39.10 K.upf
Cr 52.00 Cr.upf
CELL_PARAMETERS angstrom
-0.542 -1.392 5.220
3.628 -2.278 -0.231
2.838 4.387 1.465
ATOMIC_POSITIONS crystal
Br 0.500 0.255 0.375
K 0.500 0.750 0.874
Cr 0.000 0.250 0.375
Br 0.000 0.245 0.875
```

---

[11]
KCr2Br: optimized geometry, PBE-GGA. Values from VASP.

Values from the calculation:
Energy relative to the elements, uncorrected, eV/atom: 0.74
Volume, Å³ per atom: 37.8
Calculated total energy, eV per atom: -4.76
Relative energy among the computed polymorphs, kJ per mole of atoms: 56.09
DOS at the Fermi energy, states/eV/cell: 3.26

Quantum ESPRESSO input file:
```
&SYSTEM
  ibrav = 0, nat = 8, ntyp = 3
/
ATOMIC_SPECIES
Cr 52.00 Cr.upf
Br 79.90 Br.upf
K 39.10 K.upf
CELL_PARAMETERS angstrom
5.592 0.000 0.000
0.000 5.592 0.000
2.796 2.796 9.664
ATOMIC_POSITIONS crystal
Cr 0.375 0.125 0.750
Cr 0.875 0.625 0.250
Br 0.750 0.250 0.500
K 0.250 0.750 0.500
Br 0.000 0.000 0.000
Cr 0.875 0.125 0.750
K 0.500 0.500 0.000
Cr 0.875 0.125 0.250
```

---

[12]
KCr2Br: optimized geometry, PBE-GGA. Values from VASP.

Values from the calculation:
Energy relative to the elements, uncorrected, eV/atom: 0.80
Volume, Å³ per atom: 28.8
Calculated total energy, eV per atom: -4.70
Relative energy among the computed polymorphs, kJ per mole of atoms: 61.80
DOS at the Fermi energy, states/eV/cell: 1.29

Quantum ESPRESSO input file:
```
&SYSTEM
  ibrav = 0, nat = 4, ntyp = 3
/
ATOMIC_SPECIES
Cr 52.00 Cr.upf
K 39.10 K.upf
Br 79.90 Br.upf
CELL_PARAMETERS angstrom
-2.345 -1.796 1.888
3.768 -3.640 1.218
1.520 3.235 4.964
ATOMIC_POSITIONS crystal
Cr 0.000 0.000 0.994
K 0.500 0.500 0.250
Cr 0.000 0.000 0.506
Br 0.500 0.500 0.750
```

---

[13]
KCr2Br: optimized geometry, PBE-GGA. Values from VASP.

Values from the calculation:
Energy relative to the elements, uncorrected, eV/atom: 0.55
Volume, Å³ per atom: 27.6
Calculated total energy, eV per atom: -4.96
Relative energy among the computed polymorphs, kJ per mole of atoms: 37.36
DOS at the Fermi energy, states/eV/cell: 2.20

Quantum ESPRESSO input file:
```
&SYSTEM
  ibrav = 0, nat = 4, ntyp = 3
/
ATOMIC_SPECIES
Cr 52.00 Cr.upf
Br 79.90 Br.upf
K 39.10 K.upf
CELL_PARAMETERS angstrom
6.889 0.042 -0.190
4.032 5.586 0.190
-4.823 -4.050 2.798
ATOMIC_POSITIONS crystal
Cr 0.471 0.471 0.000
Br 0.250 0.750 0.500
Cr 0.029 0.029 0.000
K 0.750 0.250 0.500
```

---

[14]
KCr2Br: optimized geometry, PBE-GGA. Values from VASP.

Values from the calculation:
Energy relative to the elements, uncorrected, eV/atom: 0.78
Volume, Å³ per atom: 28.0
Calculated total energy, eV per atom: -4.72
Relative energy among the computed polymorphs, kJ per mole of atoms: 60.16
DOS at the Fermi energy, states/eV/cell: 1.64

Quantum ESPRESSO input file:
```
&SYSTEM
  ibrav = 0, nat = 4, ntyp = 3
/
ATOMIC_SPECIES
Br 79.90 Br.upf
Cr 52.00 Cr.upf
K 39.10 K.upf
CELL_PARAMETERS angstrom
10.379 0.009 0.005
9.765 3.519 0.005
9.765 1.710 3.076
ATOMIC_POSITIONS crystal
Br 0.750 0.750 0.750
Cr 0.482 0.482 0.482
Cr 0.018 0.018 0.018
K 0.250 0.250 0.250
```

---

[15]
KCr2Br: optimized geometry, PBE-GGA. Values from VASP.

Values from the calculation:
Energy relative to the elements, uncorrected, eV/atom: 0.46
Volume, Å³ per atom: 29.7
Calculated total energy, eV per atom: -5.04
Relative energy among the computed polymorphs, kJ per mole of atoms: 29.08
DOS at the Fermi energy, states/eV/cell: 1.77

Quantum ESPRESSO input file:
```
&SYSTEM
  ibrav = 0, nat = 4, ntyp = 3
/
ATOMIC_SPECIES
Cr 52.00 Cr.upf
Br 79.90 Br.upf
K 39.10 K.upf
CELL_PARAMETERS angstrom
-6.078 -0.911 2.178
-3.719 -2.915 -4.492
5.008 -0.189 4.172
ATOMIC_POSITIONS crystal
Cr 0.004 0.004 0.000
Cr 0.834 0.334 0.500
Br 0.199 0.699 0.500
K 0.463 0.463 0.000
```

---

[16]
KCr2Br: optimized geometry, PBE-GGA. Values from VASP.

Values from the calculation:
Energy relative to the elements, uncorrected, eV/atom: 0.81
Volume, Å³ per atom: 28.6
Calculated total energy, eV per atom: -4.69
Relative energy among the computed polymorphs, kJ per mole of atoms: 62.68
DOS at the Fermi energy, states/eV/cell: 1.69

Quantum ESPRESSO input file:
```
&SYSTEM
  ibrav = 0, nat = 4, ntyp = 3
/
ATOMIC_SPECIES
Cr 52.00 Cr.upf
Br 79.90 Br.upf
K 39.10 K.upf
CELL_PARAMETERS angstrom
-0.794 -4.037 -3.574
-2.077 -4.752 1.674
-5.065 -1.415 -1.431
ATOMIC_POSITIONS crystal
Cr 0.250 0.250 0.250
Br 0.500 0.500 0.500
Cr 0.000 0.000 0.000
K 0.750 0.750 0.750
```

---

[17]
KCrBr2: optimized geometry, PBE-GGA. Values from VASP.

Values from the calculation:
Energy relative to the elements, uncorrected, eV/atom: -0.74
Volume, Å³ per atom: 44.7
Calculated total energy, eV per atom: -4.26
Relative energy among the computed polymorphs, kJ per mole of atoms: 2.64
DOS at the Fermi energy, states/eV/cell: 0.00

Quantum ESPRESSO input file:
```
&SYSTEM
  ibrav = 0, nat = 4, ntyp = 3
/
ATOMIC_SPECIES
Br 79.90 Br.upf
K 39.10 K.upf
Cr 52.00 Cr.upf
CELL_PARAMETERS angstrom
-3.626 4.204 6.731
-0.480 0.822 8.673
1.288 5.166 6.912
ATOMIC_POSITIONS crystal
Br 0.900 0.900 0.900
K 0.500 0.500 0.500
Cr 0.000 0.000 0.000
Br 0.100 0.100 0.100
```

---

[18]
KCrBr2: optimized geometry, PBE-GGA. Values from VASP.

Values from the calculation:
Energy relative to the elements, uncorrected, eV/atom: -0.75
Volume, Å³ per atom: 35.9
Calculated total energy, eV per atom: -4.27
Relative energy among the computed polymorphs, kJ per mole of atoms: 2.19
DOS at the Fermi energy, states/eV/cell: 0.39

Quantum ESPRESSO input file:
```
&SYSTEM
  ibrav = 0, nat = 4, ntyp = 3
/
ATOMIC_SPECIES
Br 79.90 Br.upf
Cr 52.00 Cr.upf
K 39.10 K.upf
CELL_PARAMETERS angstrom
7.350 0.066 -0.097
5.935 4.338 -0.097
-0.244 -0.081 4.568
ATOMIC_POSITIONS crystal
Br 0.712 0.712 0.674
Cr 0.542 0.542 0.407
K 0.274 0.274 0.184
Br 0.972 0.972 0.235
```

---

[19]
KCrBr2: optimized geometry, PBE-GGA. Values from VASP.

Values from the calculation:
Energy relative to the elements, uncorrected, eV/atom: -0.70
Volume, Å³ per atom: 31.5
Calculated total energy, eV per atom: -4.21
Relative energy among the computed polymorphs, kJ per mole of atoms: 7.35
DOS at the Fermi energy, states/eV/cell: 0.62

Quantum ESPRESSO input file:
```
&SYSTEM
  ibrav = 0, nat = 4, ntyp = 3
/
ATOMIC_SPECIES
K 39.10 K.upf
Br 79.90 Br.upf
Cr 52.00 Cr.upf
CELL_PARAMETERS angstrom
-0.589 1.343 -5.708
-5.871 -0.427 0.283
4.235 3.471 2.180
ATOMIC_POSITIONS crystal
K 0.250 0.750 0.500
Br 0.545 0.545 0.000
Br 0.955 0.955 0.000
Cr 0.750 0.250 0.500
```

---

[20]
K3CrBr6: optimized geometry, PBE-GGA. Values from VASP.

Values from the calculation:
Energy relative to the elements, uncorrected, eV/atom: -1.35
Volume, Å³ per atom: 34.0
Calculated total energy, eV per atom: -3.64

Quantum ESPRESSO input file:
```
&SYSTEM
  ibrav = 0, nat = 20, ntyp = 3
/
ATOMIC_SPECIES
Cr 52.00 Cr.upf
Br 79.90 Br.upf
K 39.10 K.upf
CELL_PARAMETERS angstrom
-1.591 2.079 -7.209
5.646 -5.045 -2.701
-7.475 -8.112 -0.474
ATOMIC_POSITIONS crystal
Cr 0.000 0.000 0.000
Br 0.341 0.768 0.441
K 0.026 0.578 0.245
K 0.526 0.922 0.745
K 0.500 0.500 0.000
Br 0.270 0.832 0.056
Br 0.609 0.471 0.285
Br 0.841 0.732 0.941
Br 0.770 0.668 0.556
Cr 0.500 0.500 0.500
Br 0.109 0.029 0.785
Br 0.730 0.168 0.944
Br 0.891 0.971 0.215
K 0.000 0.000 0.500
Br 0.659 0.232 0.559
Br 0.159 0.268 0.059
Br 0.230 0.332 0.444
K 0.974 0.422 0.755
K 0.474 0.078 0.255
Br 0.391 0.529 0.715
```